Record 1
Below is LaTmCd6 after structural relaxation, with properties calculated at the PBE level.

Formation enthalpy at 0 K in meV/atom: -277
Raw total energy in eV per atom: -2.12

Unit cell a=4.897 b=7.257 c=10.905 alpha=90.00 beta=90.00 gamma=90.00
Space group Amm2 (No. 38)
Unique sites:
La 0.000 0.000 0.000
Tm 0.500 0.000 0.730
Cd 0.000 0.000 0.545
Cd 0.000 0.215 0.270
Cd 0.500 0.000 0.198
Cd 0.500 0.210 0.460

---

Record 2
Below is Mg3Au after structural relaxation, with properties calculated at the PBE level.

Raw total energy in eV per atom: -2.34

Unit cell a=6.053 b=10.460 c=4.827 alpha=90.00 beta=90.00 gamma=90.00
Space group Cmcm (No. 63)
Unique sites:
Mg 0.000 0.172 0.250
Mg 0.243 0.414 0.250
Au 0.000 0.333 0.750

---

> raw total energy of number 2 (Mg3Au)?

-2.34 eV per atom

---

> Number 2 is which compound?

Mg3Au

---

> Among the records above, which one has the highest raw total energy?

LaTmCd6

---

> raw total energy of number 1 (LaTmCd6)?

-2.12 eV per atom